Arrangement one

Compound: LaEuZn
Source: Alexandria via LeMat-Bulk
Functional: GGA-PBE
Structure: relaxed

Lattice parameters (Å, degrees): 5.1677 5.1677 3.8256 90.00 90.00 120.00
Last column: nearest neighbours and their distance in Å.
Space group P3m1 (No. 156)
Asymmetric unit:
La 0.0000 0.0000 0.0000 [1 per cell]  3 Zn 3.21, 3 Eu 3.39
Eu 0.6667 0.3333 0.4190 [1 per cell]  3 Zn 3.16, 3 La 3.39
Zn 0.3333 0.6667 0.6896 [1 per cell]  3 Eu 3.16, 3 La 3.21

Results
**N(E_F)**: 3.19 states/eV per cell
**M_tot**: 7.25 μB/cell

=====

Arrangement two

Compound: LaEuZn
Source: Alexandria via LeMat-Bulk
Functional: GGA-PBE
Structure: relaxed

Lattice parameters (Å, degrees): 7.4020 7.4020 7.4020 90.00 90.00 90.00
Last column: nearest neighbours and their distance in Å.
Space group F-43m (No. 216)
Asymmetric unit:
La 0.0000 0.0000 0.0000 [4 per cell]  4 Zn 3.21
Eu 0.0000 0.0000 0.5000 [4 per cell]  4 Zn 3.21
Zn 0.2500 0.2500 0.2500 [4 per cell]  4 La 3.21, 4 Eu 3.21

Results
**N(E_F)**: 19.67 states/eV per cell
**M_tot**: 29.91 μB/cell

=====

Arrangement three

Compound: LaEuZn
Source: Alexandria via LeMat-Bulk
Functional: GGA-PBE
Structure: relaxed

Lattice parameters (Å, degrees): 3.7995 3.7995 12.9612 90.00 90.00 90.00
Last column: nearest neighbours and their distance in Å.
Space group I4mm (No. 107)
Asymmetric unit:
La 0.0000 0.0000 0.0000 [2 per cell]  4 Zn 3.19, 1 Eu 3.54
Eu 0.0000 0.0000 0.7266 [2 per cell]  4 Zn 3.24, 1 La 3.54
Zn 0.0000 0.0000 0.3668 [2 per cell]  4 La 3.19, 4 Eu 3.24

Results
**N(E_F)**: 10.80 states/eV per cell
**M_tot**: 14.81 μB/cell

=====

The winner here is arrangement three, beating the second structure by 153 meV/atom.